{
  "formula": "LuVO4",
  "functional": "SCAN",
  "state": "PBEsol geometry",
  "dft_energy_ev_per_fu": -117.63,
  "polymorph_energy_mev_per_atom": 17,
  "n_ef_per_ev_cell": 0.0,
  "formation_energy_uncorrected_ev_per_atom": -3.313,
  "magnetic_moment_mub_per_cell": 0.00,
  "cell": [[4.933, 0.000, 0.000], [0.000, 4.933, 0.000], [-2.466, -2.466, 5.424]],
  "species": ["Lu", "Lu", "V", "V", "O", "O", "O", "O", "O", "O", "O", "O"],
  "fractional_positions": [[0.500, 0.500, 0.000], [0.750, 0.250, 0.500], [0.000, 0.000, 0.000], [0.250, 0.750, 0.500], [0.340, 0.235, 0.165], [0.180, 0.090, 0.665], [0.485, 0.574, 0.665], [0.824, 0.930, 0.165], [0.426, 0.820, 0.335], [0.765, 0.176, 0.835], [0.070, 0.660, 0.835], [0.910, 0.515, 0.335]]
}

***

{
  "formula": "SiTcPtC2",
  "functional": "SCAN",
  "state": "PBEsol geometry",
  "dft_energy_ev_per_fu": -126.99,
  "n_ef_per_ev_cell": 2.6,
  "formation_energy_uncorrected_ev_per_atom": 1.695,
  "magnetic_moment_mub_per_cell": 3.17,
  "cell": [[-1.594, 3.039, -1.427], [-3.353, -1.366, 0.838], [0.206, 2.109, 4.262]],
  "species": ["C", "C", "Si", "Tc", "Pt"],
  "fractional_positions": [[0.000, 0.500, 0.000], [0.500, 0.000, 0.000], [0.000, 0.000, 0.000], [0.500, 0.500, 0.500], [0.000, 0.000, 0.500]]
}

***

{
  "formula": "Y4Mg",
  "functional": "SCAN",
  "state": "PBEsol geometry",
  "dft_energy_ev_per_fu": -116.13,
  "n_ef_per_ev_cell": 7.7,
  "ef_ev_per_atom": 0.04,
  "magnetic_moment_mub_per_cell": 0.82,
  "cell": [[-4.142, 0.217, -2.729], [-5.062, -0.421, 3.134], [-2.166, 5.505, -0.792]],
  "species": ["Y", "Y", "Y", "Y", "Mg"],
  "fractional_positions": [[0.804, 0.591, 0.801], [0.196, 0.409, 0.199], [0.605, 0.199, 0.591], [0.395, 0.801, 0.409], [0.000, 0.000, 0.000]]
}

***

| no. | calculated volume (Å³ per atom) |
| --- | --- |
| 1 | 10.998 |
| 2 | 13.147 |
| 3 | 29.253 |